# FeAgCl2

FeAgCl2 after structural relaxation (PBE, the Alexandria database). Values from VASP.

Properties
- Formation energy (no corrections): -0.219 eV/atom
- M_tot: 3.505 Bohr magnetons per cell
- V: 104.7 Å³/f.u.

The structure in Quantum ESPRESSO input format:
```
&SYSTEM
  ibrav = 0, nat = 4, ntyp = 3
/
ATOMIC_SPECIES
Fe 55.84 Fe.upf
Ag 107.87 Ag.upf
Cl 35.45 Cl.upf
CELL_PARAMETERS angstrom
-3.031 2.800 -4.291
-4.775 3.149 -1.649
3.858 4.044 2.012
ATOMIC_POSITIONS angstrom
Fe -1.259 5.536 -1.563
Ag 0.751 2.303 0.192
Cl 3.048 4.279 1.447
Cl -4.605 6.917 -3.954
```



# FeAg2Cl

FeAg2Cl after structural relaxation (PBE, the Alexandria database). Values from VASP.

Properties
- Formation energy (no corrections): 0.442 eV/atom
- M_tot: 3.213 Bohr magnetons per cell
- V: 72.4 Å³/f.u.

The structure in Quantum ESPRESSO input format:
```
&SYSTEM
  ibrav = 0, nat = 4, ntyp = 3
/
ATOMIC_SPECIES
Fe 55.84 Fe.upf
Ag 107.87 Ag.upf
Cl 35.45 Cl.upf
CELL_PARAMETERS angstrom
-5.186 0.052 -1.285
1.446 -0.293 5.135
-0.013 2.913 0.170
ATOMIC_POSITIONS angstrom
Fe 0.717 1.310 2.653
Ag 0.000 0.000 0.000
Ag -1.870 -0.121 1.925
Cl -2.599 1.482 -0.558
```



# FeAgCl2

FeAgCl2 after structural relaxation (PBE, the Alexandria database). Values from VASP.

Properties
- Formation energy (no corrections): -0.113 eV/atom
- M_tot: 6.353 Bohr magnetons per cell
- V: 96.7 Å³/f.u.

The structure in Quantum ESPRESSO input format:
```
&SYSTEM
  ibrav = 0, nat = 8, ntyp = 3
/
ATOMIC_SPECIES
Fe 55.84 Fe.upf
Ag 107.87 Ag.upf
Cl 35.45 Cl.upf
CELL_PARAMETERS angstrom
-4.920 -0.503 3.282
-2.634 -2.982 -4.404
-1.906 -6.467 1.520
ATOMIC_POSITIONS angstrom
Fe -3.777 -1.742 -0.561
Fe -4.158 -5.596 -1.723
Ag 0.000 0.000 0.000
Ag -5.301 -4.356 2.120
Cl -3.637 -2.279 1.718
Cl -2.981 -3.568 -1.800
Cl -4.392 -6.305 0.501
Cl -7.908 -7.752 0.376
```